First-principles (PBE) data for a geometry-optimized NaSrBO3 structure, as listed in Alexandria via LeMat-Bulk.

```
NaSrBO3
1.0
9.339 0.000 0.000
0.000 5.386 0.008
0.000 1.098 6.035
O B Na Sr
12 4 4 4
direct
0.439 0.274 0.189
0.561 0.726 0.811
0.344 0.961 0.783
0.145 0.576 0.132
0.355 0.576 0.632
0.855 0.424 0.868
0.061 0.274 0.689
0.939 0.726 0.311
0.645 0.424 0.368
0.656 0.039 0.217
0.156 0.961 0.283
0.844 0.039 0.717
0.580 0.246 0.262
0.920 0.246 0.762
0.420 0.754 0.738
0.080 0.754 0.238
0.260 0.255 0.468
0.740 0.745 0.532
0.240 0.255 0.968
0.760 0.745 0.032
0.413 0.753 0.216
0.587 0.247 0.784
0.913 0.247 0.284
0.087 0.753 0.716
```

## Properties
The value obtained for the uncorrected formation energy is -15.22 eV/f.u.


First-principles (PBE) data for a geometry-optimized Sc2CoAu structure, as listed in Alexandria via LeMat-Bulk.

```
Sc2CoAu
1.0
-1.684 4.276 0.306
-3.993 -1.448 -1.780
-1.130 -0.665 3.076
Au Sc Co
1 2 1
direct
0.500 0.000 0.500
0.000 0.000 0.000
0.500 0.500 0.000
0.000 0.500 0.500
```

## Properties
The value obtained for the formation enthalpy at 0 K is -515 meV per atom.


First-principles (PBE) data for a geometry-optimized CsCd3Rh structure, as listed in Alexandria via LeMat-Bulk.

```
CsCd3Rh
1.0
4.396 0.000 0.300
0.000 6.486 0.000
-2.919 0.000 10.414
Cs Cd Rh
2 6 2
direct
0.569 0.250 0.138
0.431 0.750 0.862
0.792 0.985 0.585
0.208 0.015 0.415
0.792 0.515 0.585
0.905 0.250 0.809
0.208 0.485 0.415
0.095 0.750 0.191
0.321 0.250 0.643
0.679 0.750 0.357
```

## Properties
The value obtained for the formation enthalpy at 0 K is -6 meV per atom.


First-principles (PBE) data for a geometry-optimized NaAgB2 structure, as listed in Alexandria via LeMat-Bulk.

```
NaAgB2
1.0
2.639 -1.282 2.904
-1.067 0.181 3.983
-0.762 -3.476 2.092
Na B Ag
1 2 1
direct
0.000 0.000 0.000
0.250 0.250 0.250
0.750 0.750 0.750
0.500 0.500 0.500
```

## Properties
The value obtained for the formation enthalpy at 0 K is 1370 meV per atom.


First-principles (PBE) data for a geometry-optimized MgTl2Fe structure, as listed in Alexandria via LeMat-Bulk.

```
MgTl2Fe
1.0
5.828 0.036 0.042
2.264 5.371 -0.042
-3.243 -3.906 2.864
Tl Fe Mg
2 1 1
direct
0.022 0.022 0.000
0.478 0.478 0.000
0.250 0.750 0.500
0.750 0.250 0.500
```

## Properties
The value obtained for the formation enthalpy at 0 K is 412 meV per atom.


First-principles (PBE) data for a geometry-optimized ScCoNiHg structure, as listed in Alexandria via LeMat-Bulk.

```
ScCoNiHg
1.0
-2.702 -3.297 -1.163
0.155 -1.642 -4.100
1.628 -4.048 -0.699
Ni Sc Hg Co
1 1 1 1
direct
0.750 0.750 0.750
0.000 0.000 0.000
0.500 0.500 0.500
0.250 0.250 0.250
```

## Properties
The value obtained for the formation enthalpy at 0 K is -130 meV per atom.